A geometry-optimized NdSeCl structure, computed with PBE.

Energy above the lowest structure with this stoichiometry in meV per atom: 43
Crystal system: triclinic
Formation energy (no corrections) in eV/atom: -2.031
V in Å³/atom: 31.5

CIF file:
```
data_NdSeCl
_chemical_formula_sum 'Nd2 Se2 Cl2'
_space_group_name_H-M_alt 'P 1'
_space_group_IT_number 1
_cell_length_a 3.9247
_cell_length_b 4.3777
_cell_length_c 11.0047
_cell_angle_alpha 89.79
_cell_angle_beta 89.54
_cell_angle_gamma 90.00
loop_
_space_group_symop_operation_xyz
'x,y,z'
loop_
_atom_site_label
_atom_site_type_symbol
_atom_site_fract_x
_atom_site_fract_y
_atom_site_fract_z
_atom_site_occupancy
Cl1 Cl 0.0062 0.4426 0.5224 1
Cl2 Cl 0.5225 0.9491 0.8132 1
Nd1 Nd 0.0187 0.9482 0.9919 1
Nd2 Nd 0.5104 0.4446 0.3437 1
Se1 Se 0.5171 0.4475 0.0657 1
Se2 Se 0.0123 0.9453 0.2699 1
```


A geometry-optimized Nd5Se4Cl structure, computed with PBE.

Crystal system: tetragonal
Formation energy (no corrections) in eV/atom: -1.732
V in Å³/atom: 26.5
DOS at the Fermi energy in states/eV/f.u.: 5.28

CIF file:
```
data_Nd5Se4Cl
_chemical_formula_sum 'Nd5 Se4 Cl1'
_space_group_name_H-M_alt 'P 1'
_space_group_IT_number 1
_cell_length_a 5.9478
_cell_length_b 7.3130
_cell_length_c 7.3130
_cell_angle_alpha 80.48
_cell_angle_beta 66.00
_cell_angle_gamma 66.00
loop_
_space_group_symop_operation_xyz
'x,y,z'
loop_
_atom_site_label
_atom_site_type_symbol
_atom_site_fract_x
_atom_site_fract_y
_atom_site_fract_z
_atom_site_occupancy
Nd1 Nd 0.9008 0.4162 0.7840 1
Nd2 Nd 0.3170 0.7840 0.5838 1
Nd3 Nd 0.5015 0.0000 0.0000 1
Nd4 Nd 0.1010 0.5838 0.2160 1
Nd5 Nd 0.6848 0.2160 0.4162 1
Se1 Se 0.3936 0.4035 0.8111 1
Se2 Se 0.6082 0.5965 0.1889 1
Se3 Se 0.2047 0.1889 0.4035 1
Se4 Se 0.7971 0.8111 0.5965 1
Cl1 Cl 0.0015 0.0000 0.0000 1
```


A geometry-optimized Nd3Se2Cl structure, computed with PBE.

Energy above the lowest structure with this stoichiometry in meV per atom: 17
Crystal system: hexagonal
Formation energy (no corrections) in eV/atom: -1.634
V in Å³/atom: 26.5
DOS at the Fermi energy in states/eV/f.u.: 3.36

CIF file:
```
data_Nd3Se2Cl
_chemical_formula_sum 'Nd6 Se4 Cl2'
_space_group_name_H-M_alt 'P 1'
_space_group_IT_number 1
_cell_length_a 4.0527
_cell_length_b 4.0527
_cell_length_c 22.3250
_cell_angle_alpha 90.00
_cell_angle_beta 90.00
_cell_angle_gamma 120.00
loop_
_space_group_symop_operation_xyz
'x,y,z'
loop_
_atom_site_label
_atom_site_type_symbol
_atom_site_fract_x
_atom_site_fract_y
_atom_site_fract_z
_atom_site_occupancy
Nd1 Nd 0.6667 0.3333 0.8411 1
Nd2 Nd 0.3333 0.6667 0.1589 1
Nd3 Nd 0.6667 0.3333 0.6589 1
Nd4 Nd 0.3333 0.6667 0.3411 1
Nd5 Nd 0.0000 0.0000 0.0000 1
Nd6 Nd 0.0000 0.0000 0.5000 1
Cl1 Cl 0.0000 0.0000 0.7500 1
Cl2 Cl 0.0000 0.0000 0.2500 1
Se1 Se 0.6667 0.3333 0.4188 1
Se2 Se 0.3333 0.6667 0.9188 1
Se3 Se 0.3333 0.6667 0.5812 1
Se4 Se 0.6667 0.3333 0.0812 1
```


A geometry-optimized NdSeCl structure, computed with PBE.

Energy above the lowest structure with this stoichiometry in meV per atom: 341
Crystal system: tetragonal
Formation energy (no corrections) in eV/atom: -1.732
V in Å³/atom: 24.0
DOS at the Fermi energy in states/eV/f.u.: 0.61

CIF file:
```
data_NdSeCl
_chemical_formula_sum 'Nd1 Se1 Cl1'
_space_group_name_H-M_alt 'P 1'
_space_group_IT_number 1
_cell_length_a 3.8821
_cell_length_b 3.8821
_cell_length_c 5.5025
_cell_angle_alpha 110.66
_cell_angle_beta 110.66
_cell_angle_gamma 90.00
loop_
_space_group_symop_operation_xyz
'x,y,z'
loop_
_atom_site_label
_atom_site_type_symbol
_atom_site_fract_x
_atom_site_fract_y
_atom_site_fract_z
_atom_site_occupancy
Se1 Se 0.0137 0.0137 0.0275 1
Cl1 Cl 0.3292 0.3292 0.6585 1
Nd1 Nd 0.6570 0.6570 0.3141 1
```


A geometry-optimized NdSeCl structure, computed with PBE.

Energy above the lowest structure with this stoichiometry in meV per atom: 77
Crystal system: tetragonal
Formation energy (no corrections) in eV/atom: -1.996
V in Å³/atom: 30.7

CIF file:
```
data_NdSeCl
_chemical_formula_sum 'Nd2 Se2 Cl2'
_space_group_name_H-M_alt 'P 1'
_space_group_IT_number 1
_cell_length_a 4.0836
_cell_length_b 4.0836
_cell_length_c 11.4190
_cell_angle_alpha 100.30
_cell_angle_beta 100.30
_cell_angle_gamma 90.00
loop_
_space_group_symop_operation_xyz
'x,y,z'
loop_
_atom_site_label
_atom_site_type_symbol
_atom_site_fract_x
_atom_site_fract_y
_atom_site_fract_z
_atom_site_occupancy
Cl1 Cl 0.6781 0.6781 0.3561 1
Cl2 Cl 0.3219 0.3219 0.6439 1
Se1 Se 0.4512 0.9512 0.9024 1
Se2 Se 0.0488 0.5488 0.0976 1
Nd1 Nd 0.9092 0.4092 0.8184 1
Nd2 Nd 0.5908 0.0908 0.1816 1
```


A geometry-optimized NdSeCl structure, computed with PBE.

Energy above the lowest structure with this stoichiometry in meV per atom: 0
Crystal system: orthorhombic
Formation energy (no corrections) in eV/atom: -2.073
V in Å³/atom: 29.6
DOS at the Fermi energy in states/eV/f.u.: 0.00

CIF file:
```
data_NdSeCl
_chemical_formula_sum 'Nd4 Se4 Cl4'
_space_group_name_H-M_alt 'P 1'
_space_group_IT_number 1
_cell_length_a 4.4768
_cell_length_b 5.6976
_cell_length_c 13.9300
_cell_angle_alpha 90.00
_cell_angle_beta 90.00
_cell_angle_gamma 90.00
loop_
_space_group_symop_operation_xyz
'x,y,z'
loop_
_atom_site_label
_atom_site_type_symbol
_atom_site_fract_x
_atom_site_fract_y
_atom_site_fract_z
_atom_site_occupancy
Se1 Se 0.2498 0.7098 0.2876 1
Se2 Se 0.2502 0.2902 0.7876 1
Se3 Se 0.7502 0.2098 0.2124 1
Se4 Se 0.7498 0.7902 0.7124 1
Nd1 Nd 0.7503 0.2886 0.6499 1
Nd2 Nd 0.7497 0.7114 0.1499 1
Nd3 Nd 0.2497 0.7886 0.8501 1
Nd4 Nd 0.2503 0.2114 0.3501 1
Cl1 Cl 0.2496 0.5401 0.0317 1
Cl2 Cl 0.2504 0.4599 0.5317 1
Cl3 Cl 0.7496 0.9599 0.9683 1
Cl4 Cl 0.7504 0.0401 0.4683 1
```